A relaxed SrCa3Pt crystal, computed with PBE-GGA.

a b c (Å): 5.9056 5.9056 27.1216
angles (deg): 90.00 90.00 90.00
Last column: nearest neighbours and their distance in Å.
Space group I-4m2 (No. 119)
Symmetry-distinct sites (fractional):
Sr1 0.0000 0.0000 0.0000  4 Ca 3.96
Sr2 0.0000 0.5000 0.2500  8 Ca 3.44-3.49
Ca1 0.0000 0.0000 0.3185  2 Pt 2.99
Ca2 0.0000 0.2351 0.1369  1 Ca 2.78
Pt1 0.0000 0.5000 0.6992  1 Pt 2.75, 2 Ca 2.99

Values from the calculation:
total moment	0.0	μB per formula unit
D(E_F)	30.881	states/eV per cell
energy of formation	518	meV per atom
ΔE to the lowest computed polymorph	1001	meV per atom